The following is a DFT calculation (GGA-PBE) of a geometry-optimized FeSnWAu structure.

As for the space-group type: F-43m (216). The energy above the lowest structure with this stoichiometry comes out at 0.0510 eV/atom. The calculation puts the calculated total energy at -26.08 eV/f.u.

a b c (Å): 4.564 4.564 4.564
angles (deg): 60.00 60.00 60.00
Atoms (fractional coordinates):
1 Au 0.250 0.250 0.250
2 Fe 0.750 0.750 0.750
3 Sn 0.000 0.000 0.000
4 W 0.500 0.500 0.500